DFT (PBE-GGA) results for a relaxed structure of CaLa2ZnCo.

abc: 5.1878 5.1878 5.5993
angles: 90.00 90.00 90.00
With the nearest neighbours (Å) after each atom.
Fractional positions:
Ca 0.0000 0.0000 0.5000  2 Co 2.80
Zn 0.5000 0.5000 0.5000  4 Ca 3.67, 8 La 3.82
La 0.5000 0.0000 0.0000  2 Co 2.59
La 0.0000 0.5000 0.0000  2 Co 2.59
Co 0.0000 0.0000 0.0000  4 La 2.59, 2 Ca 2.80

Results
symmetry: P4/mmm (123)

---

DFT (PBE-GGA) results for a relaxed structure of CaLaZnCo.

abc: 5.0699 5.0699 5.0699
angles: 60.00 60.00 60.00
With the nearest neighbours (Å) after each atom.
Fractional positions:
Zn 0.0000 0.0000 0.0000  4 Ca 3.10, 4 La 3.10
La 0.7500 0.7500 0.7500  4 Co 3.10, 4 Zn 3.10
Co 0.5000 0.5000 0.5000  4 La 3.10, 4 Ca 3.10
Ca 0.2500 0.2500 0.2500  4 Co 3.10, 4 Zn 3.10

Results
symmetry: F-43m (216)

---

DFT (PBE-GGA) results for a relaxed structure of CaLa2ZnCo.

abc: 5.3286 5.3286 4.9999
angles: 90.00 90.00 90.00
With the nearest neighbours (Å) after each atom.
Fractional positions:
Ca 0.5000 0.5000 0.5000  8 La 3.65, 4 Zn 3.77
Zn 0.0000 0.0000 0.5000  2 Co 2.50
La 0.0000 0.5000 0.0000  2 Co 2.66
Co 0.0000 0.0000 0.0000  2 Zn 2.50, 4 La 2.66
La 0.5000 0.0000 0.0000  2 Co 2.66

Results
symmetry: P4/mmm (123)

---

DFT (PBE-GGA) results for a relaxed structure of LiCaCo2.

abc: 3.1084 3.1252 7.9567
angles: 66.94 90.00 90.00
With the nearest neighbours (Å) after each atom.
Fractional positions:
Ca 0.5000 0.7041 0.7953  5 Co 2.97-3.02, 4 Ca 3.11-3.13
Co 0.5000 0.2987 0.2015  4 Co 2.38
Li 0.0000 0.5751 0.4251  5 Co 2.54-2.75
Co 0.0000 0.9221 0.0780  4 Co 2.38, 1 Li 2.54

Results
symmetry: Pm (6)

---

DFT (PBE-GGA) results for a relaxed structure of Li2CaCo.

abc: 5.3660 5.3660 3.0650
angles: 90.00 90.00 118.37
With the nearest neighbours (Å) after each atom.
Fractional positions:
Li 0.0000 0.0000 0.0000  4 Li 2.75-3.07
Ca 0.5000 0.0000 0.5000  2 Co 2.75, 2 Ca 3.07
Li 0.5000 0.5000 0.0000  4 Li 2.75-3.07
Co 0.0000 0.5000 0.5000  2 Ca 2.75, 2 Co 3.07

Results
symmetry: Cmmm (65)

---

DFT (PBE-GGA) results for a relaxed structure of LiCaCo.

abc: 4.6252 4.6252 4.6252
angles: 60.00 60.00 60.00
With the nearest neighbours (Å) after each atom.
Fractional positions:
Li 0.0000 0.0000 0.0000  4 Co 2.83
Co 0.2500 0.2500 0.2500  4 Li 2.83, 4 Ca 2.83
Ca 0.5000 0.5000 0.5000  4 Co 2.83

Results
symmetry: F-43m (216)

---

| no. | total DFT energy (no corrections) (eV per cell) |
| --- | --- |
| 1 | -20.41 |
| 2 | -15.35 |
| 3 | -20.57 |
| 4 | -17.07 |
| 5 | -11.01 |
| 6 | -9.23 |